Entry from the Alexandria database: a relaxed CaCl3F crystal (PBE).

Computed properties:
The value obtained for the total magnetization is 0.28 μB per formula unit. For the uncorrected formation energy, the calculation gives -0.984 eV per atom. The value obtained for the energy above the most stable polymorph in this dataset is 0 meV/atom. As for the space-group type: No. 221.

Structure (POSCAR):
```
CaCl3F
1.0
5.418 0.000 0.000
0.000 5.418 0.000
0.000 0.000 5.418
Ca Cl F
1 3 1
Direct
0.000 0.000 0.000
0.000 0.000 0.500
0.000 0.500 0.000
0.500 0.000 0.000
0.500 0.500 0.500
```

=====

Entry from the Alexandria database: a relaxed Ca2ClF crystal (PBE).

Computed properties:
The value obtained for the total magnetization is 1.64 μB per formula unit. For the uncorrected formation energy, the calculation gives -1.458 eV per atom. The value obtained for the energy above the most stable polymorph in this dataset is 572 meV/atom. As for the space-group type: No. 225.

Structure (POSCAR):
```
Ca2ClF
1.0
7.045 0.000 0.000
0.000 7.045 0.000
0.000 0.000 7.045
Ca Cl F
8 4 4
Direct
0.250 0.250 0.250
0.250 0.250 0.750
0.250 0.750 0.250
0.250 0.750 0.750
0.750 0.250 0.250
0.750 0.250 0.750
0.750 0.750 0.250
0.750 0.750 0.750
0.000 0.000 0.000
0.000 0.500 0.500
0.500 0.000 0.500
0.500 0.500 0.000
0.000 0.000 0.500
0.000 0.500 0.000
0.500 0.000 0.000
0.500 0.500 0.500
```

=====

Entry from the Alexandria database: a relaxed CaClF2 crystal (PBE).

Computed properties:
The value obtained for the total magnetization is 0.00 μB per formula unit. For the uncorrected formation energy, the calculation gives -2.833 eV per atom. The value obtained for the energy above the most stable polymorph in this dataset is 21 meV/atom. As for the space-group type: No. 1.

Structure (POSCAR):
```
CaClF2
1.0
4.349 0.000 0.000
-2.173 5.957 0.000
-2.153 -1.768 6.491
Ca Cl F
2 2 4
Direct
0.000 0.000 0.000
0.456 0.243 0.665
0.361 0.585 0.149
0.547 0.640 0.460
0.205 0.075 0.334
0.496 0.060 0.930
0.723 0.631 0.811
0.971 0.200 0.739
```

=====

Entry from the Alexandria database: a relaxed CaCl2F2 crystal (PBE).

Computed properties:
The value obtained for the total magnetization is 0.00 μB per formula unit. For the uncorrected formation energy, the calculation gives -2.268 eV per atom. The value obtained for the energy above the most stable polymorph in this dataset is 0 meV/atom. As for the space-group type: No. 12.

Structure (POSCAR):
```
CaCl2F2
1.0
6.471 0.000 0.000
0.000 3.732 0.000
-1.784 0.000 8.748
Ca Cl F
2 4 4
Direct
0.000 0.000 0.000
0.500 0.500 0.000
0.090 0.000 0.605
0.410 0.500 0.395
0.590 0.500 0.605
0.910 0.000 0.395
0.194 0.500 0.100
0.306 0.000 0.900
0.694 0.000 0.100
0.806 0.500 0.900
```

=====

Entry from the Alexandria database: a relaxed CaClF2 crystal (PBE).

Computed properties:
The value obtained for the total magnetization is 0.00 μB per formula unit. For the uncorrected formation energy, the calculation gives -2.484 eV per atom. The value obtained for the energy above the most stable polymorph in this dataset is 369 meV/atom. As for the space-group type: No. 1.

Structure (POSCAR):
```
CaClF2
1.0
3.902 0.000 0.000
-1.690 3.836 0.000
-0.016 -0.009 4.458
Ca Cl F
1 1 2
Direct
0.000 0.000 0.000
0.403 0.704 0.499
0.648 0.332 0.999
0.957 0.169 0.500
```

=====

Entry from the Alexandria database: a relaxed Ca2Cl3F crystal (PBE).

Computed properties:
The value obtained for the total magnetization is 0.00 μB per formula unit. For the uncorrected formation energy, the calculation gives -2.734 eV per atom. The value obtained for the energy above the most stable polymorph in this dataset is 7 meV/atom. As for the space-group type: No. 74.

Structure (POSCAR):
```
Ca2Cl3F
1.0
-3.918 4.645 4.167
3.918 -4.645 4.167
3.918 4.645 -4.167
Ca Cl F
4 6 2
Direct
0.000 0.000 0.500
0.000 0.500 0.000
0.441 0.191 0.250
0.559 0.809 0.750
0.221 0.471 0.750
0.299 0.000 0.799
0.299 0.500 0.299
0.701 0.000 0.201
0.701 0.500 0.701
0.779 0.529 0.250
0.167 0.917 0.250
0.833 0.083 0.750
```

=====

Entry from the Alexandria database: a relaxed CaCl2F8 crystal (PBE).

Computed properties:
The value obtained for the total magnetization is 0.00 μB per formula unit. For the uncorrected formation energy, the calculation gives -1.343 eV per atom. As for the space-group type: No. 12.

Structure (POSCAR):
```
CaCl2F8
1.0
5.231 -3.244 0.000
5.231 3.244 0.000
-0.480 0.000 4.823
Ca Cl F
1 2 8
Direct
0.000 0.000 0.000
0.337 0.337 0.639
0.663 0.663 0.361
0.083 0.651 0.663
0.211 0.211 0.908
0.349 0.917 0.337
0.407 0.407 0.331
0.593 0.593 0.669
0.651 0.083 0.663
0.789 0.789 0.092
0.917 0.349 0.337
```

=====

Entry from the Alexandria database: a relaxed CaClF crystal (PBE).

Computed properties:
The value obtained for the total magnetization is 0.00 μB per formula unit. For the uncorrected formation energy, the calculation gives -2.796 eV per atom. The value obtained for the energy above the most stable polymorph in this dataset is 365 meV/atom. As for the space-group type: No. 107.

Structure (POSCAR):
```
CaClF
1.0
3.347 0.000 0.000
0.000 3.347 0.000
0.000 0.000 9.653
Ca Cl F
2 2 2
Direct
0.000 0.000 0.000
0.500 0.500 0.500
0.000 0.000 0.297
0.500 0.500 0.797
0.000 0.000 0.570
0.500 0.500 0.070
```

=====

Entry from the Alexandria database: a relaxed CaClF crystal (PBE).

Computed properties:
The value obtained for the total magnetization is 0.00 μB per formula unit. For the uncorrected formation energy, the calculation gives -3.095 eV per atom. The value obtained for the energy above the most stable polymorph in this dataset is 66 meV/atom. As for the space-group type: No. 156.

Structure (POSCAR):
```
CaClF
1.0
3.909 0.000 0.000
-1.955 3.385 0.000
0.000 0.000 4.258
Ca Cl F
1 1 1
Direct
0.000 0.000 0.000
0.333 0.667 0.502
0.667 0.333 0.002
```

=====

Entry from the Alexandria database: a relaxed Ca5Cl3F12 crystal (PBE).

Computed properties:
The value obtained for the total magnetization is 5.00 μB per formula unit. For the uncorrected formation energy, the calculation gives -2.613 eV per atom. As for the space-group type: No. 230.

Structure (POSCAR):
```
Ca5Cl3F12
1.0
-7.199 7.199 7.199
7.199 -7.199 7.199
7.199 7.199 -7.199
Ca Cl F
20 12 48
Direct
0.000 0.000 0.000
0.000 0.000 0.500
0.000 0.500 0.000
0.000 0.500 0.500
0.125 0.750 0.875
0.125 0.875 0.250
0.250 0.125 0.875
0.250 0.625 0.375
0.375 0.250 0.625
0.375 0.625 0.750
0.500 0.000 0.000
0.500 0.000 0.500
0.500 0.500 0.000
0.500 0.500 0.500
0.625 0.375 0.250
0.625 0.750 0.375
0.750 0.375 0.625
0.750 0.875 0.125
0.875 0.125 0.750
0.875 0.250 0.125
0.125 0.250 0.375
0.125 0.375 0.750
0.250 0.375 0.125
0.250 0.875 0.625
0.375 0.125 0.250
0.375 0.750 0.125
0.625 0.250 0.875
0.625 0.875 0.750
0.750 0.125 0.375
0.750 0.625 0.875
0.875 0.625 0.250
0.875 0.750 0.625
0.015 0.199 0.087
0.015 0.316 0.928
0.072 0.587 0.388
0.072 0.985 0.684
0.087 0.015 0.199
0.087 0.572 0.888
0.112 0.699 0.684
0.112 0.913 0.428
0.184 0.199 0.612
0.184 0.485 0.572
0.199 0.087 0.015
0.199 0.612 0.184
0.301 0.316 0.888
0.301 0.485 0.413
0.316 0.888 0.301
0.316 0.928 0.015
0.388 0.072 0.587
0.388 0.816 0.801
0.413 0.301 0.485
0.413 0.612 0.928
0.428 0.112 0.913
0.428 0.816 0.515
0.485 0.413 0.301
0.485 0.572 0.184
0.515 0.428 0.816
0.515 0.587 0.699
0.572 0.184 0.485
0.572 0.888 0.087
0.587 0.388 0.072
0.587 0.699 0.515
0.612 0.184 0.199
0.612 0.928 0.413
0.684 0.072 0.985
0.684 0.112 0.699
0.699 0.515 0.587
0.699 0.684 0.112
0.801 0.388 0.816
0.801 0.913 0.985
0.816 0.515 0.428
0.816 0.801 0.388
0.888 0.087 0.572
0.888 0.301 0.316
0.913 0.428 0.112
0.913 0.985 0.801
0.928 0.015 0.316
0.928 0.413 0.612
0.985 0.684 0.072
0.985 0.801 0.913
```

=====

Entry from the Alexandria database: a relaxed CaCl3F12 crystal (PBE).

Computed properties:
The value obtained for the total magnetization is 1.13 μB per formula unit. For the uncorrected formation energy, the calculation gives -1.230 eV per atom. As for the space-group type: No. 161.

Structure (POSCAR):
```
CaCl3F12
1.0
5.427 3.133 5.784
-5.427 3.133 5.784
0.000 -6.267 5.784
Ca Cl F
2 6 24
Direct
0.000 0.000 0.000
0.500 0.500 0.500
0.079 0.753 0.420
0.253 0.579 0.920
0.420 0.079 0.753
0.579 0.920 0.253
0.753 0.420 0.079
0.920 0.253 0.579
0.035 0.633 0.603
0.103 0.133 0.535
0.115 0.781 0.878
0.129 0.883 0.214
0.133 0.535 0.103
0.214 0.129 0.883
0.281 0.615 0.378
0.378 0.281 0.615
0.379 0.399 0.956
0.383 0.629 0.714
0.399 0.956 0.379
0.456 0.899 0.879
0.535 0.103 0.133
0.603 0.035 0.633
0.615 0.378 0.281
0.629 0.714 0.383
0.633 0.603 0.035
0.714 0.383 0.629
0.781 0.878 0.115
0.878 0.115 0.781
0.879 0.456 0.899
0.883 0.214 0.129
0.899 0.879 0.456
0.956 0.379 0.399
```

=====

Entry from the Alexandria database: a relaxed CaCl2F2 crystal (PBE).

Computed properties:
The value obtained for the total magnetization is 0.00 μB per formula unit. For the uncorrected formation energy, the calculation gives -1.156 eV per atom. The value obtained for the energy above the most stable polymorph in this dataset is 1112 meV/atom. As for the space-group type: No. 139.

Structure (POSCAR):
```
CaCl2F2
1.0
4.656 0.000 0.000
0.000 4.656 0.000
0.000 0.000 9.058
Ca Cl F
2 4 4
Direct
0.000 0.000 0.000
0.500 0.500 0.500
0.000 0.000 0.389
0.000 0.000 0.611
0.500 0.500 0.111
0.500 0.500 0.889
0.000 0.500 0.250
0.000 0.500 0.750
0.500 0.000 0.250
0.500 0.000 0.750
```